No. 1
The following is a PBE-GGA calculation of a geometry-optimized LiGaPt2Br structure, from the Alexandria database.

The structure in POSCAR format:
```
LiGaPt2Br
1.0
4.5294 0.0000 0.0000
0.0000 4.5294 0.0000
0.0000 0.0000 4.4589
Li Ga Pt Br
1 1 2 1
direct
0.0000 0.0000 0.0000
0.5000 0.5000 0.5000
0.0000 0.5000 0.0000
0.5000 0.0000 0.0000
0.0000 0.0000 0.5000
```

Summary:
Formation energy (no corrections) in eV per atom: 0.42
Total magnetic moment in μB/atom: 0.00
Space group: P4/mmm
Raw total energy in eV/atom: -3.318


No. 2
The following is a PBE-GGA calculation of a geometry-optimized KRbMg3 structure, from the Alexandria database.

The structure in POSCAR format:
```
KRbMg3
1.0
6.5637 0.0000 0.0000
0.0000 6.5637 0.0000
0.0000 0.0000 6.5637
K Rb Mg
1 1 3
direct
0.0000 0.0000 0.0000
0.5000 0.5000 0.5000
0.0000 0.0000 0.5000
0.0000 0.5000 0.0000
0.5000 0.0000 0.0000
```

Summary:
Formation enthalpy at 0 K in eV/atom: 0.63
Total magnetic moment in μB/atom: 0.00
Space group: Pm-3m
Raw total energy in eV/atom: -0.735
Polymorph energy (0 for the lowest one) in eV per atom: 0.0000